A plane-wave DFT calculation with SCAN was carried out for a crystal of CuSi2Pt relaxed with PBEsol.

Cell lengths 8.460, 3.059, 4.226 Å; angles 90.00, 95.96, 90.00 degrees
Space group Cm (No. 8)
One atom of each set of equivalent atoms:
Cu 0.000 0.000 0.000
Si 0.253 0.000 0.829
Si 0.487 0.000 0.516
Pt 0.253 0.500 0.315

Calculated values
**Energy relative to the lowest polymorph listed for this composition**: 0.000 eV per atom
**Magnetization**: 0.0 Bohr magnetons per cell
**Uncorrected formation energy**: -0.165 eV/atom